--- one ---
VASP calculation (GGA-PBE) on a relaxed Sm2InOs crystal.

Cell: 3.969 3.969 10.186 Å, 78.76 78.76 60.00°
Fractional positions:
1 Os 0.500 0.500 0.500
2 Sm 0.886 0.886 0.342
3 Sm 0.114 0.114 0.658
4 In 0.000 0.000 0.000


--- two ---
VASP calculation (GGA-PBE) on a relaxed Sm2InOs crystal.

Cell: 3.484 3.484 8.269 Å, 90.00 90.00 90.00°
Fractional positions:
1 Sm 0.000 0.000 0.206
2 Sm 0.000 0.000 0.794
3 Os 0.500 0.500 0.000
4 In 0.500 0.500 0.500


It turns out two is the most stable, with the second structure 42.5 kJ/mol of atoms higher.


--- one ---
VASP calculation (GGA-PBE) on a relaxed SrInOs3 crystal.

Cell: 4.961 4.961 4.961 Å, 90.00 90.00 90.00°
Site moments in Bohr magnetons follow the coordinates.
Fractional positions:
1 Os 0.500 0.000 0.000  0.70
2 Os 0.000 0.500 0.000  1.10
3 Os 0.000 0.000 0.500  1.15
4 Sr 0.500 0.500 0.500  0.00
5 In 0.000 0.000 0.000  -0.02


--- two ---
VASP calculation (GGA-PBE) on a relaxed SrInOs3 crystal.

Cell: 4.965 4.965 4.965 Å, 90.00 90.00 90.00°
Site moments in Bohr magnetons follow the coordinates.
Fractional positions:
1 Os 0.000 0.000 0.500  1.48
2 Os 0.500 0.000 0.000  1.65
3 Os 0.000 0.500 0.000  1.60
4 Sr 0.000 0.000 0.000  -0.02
5 In 0.500 0.500 0.500  0.02


It turns out one is the most stable, with the second structure 114.7 kJ/mol of atoms higher.


--- one ---
VASP calculation (GGA-PBE) on a relaxed TaInOs3 crystal.

Cell: 4.772 4.772 4.772 Å, 90.00 90.00 90.00°
Fractional positions:
1 Ta 0.000 0.000 0.000
2 Os 0.000 0.000 0.500
3 Os 0.500 0.000 0.000
4 Os 0.000 0.500 0.000
5 In 0.500 0.500 0.500


--- two ---
VASP calculation (GGA-PBE) on a relaxed TaInOs3 crystal.

Cell: 4.695 4.695 4.695 Å, 90.00 90.00 90.00°
Fractional positions:
1 Os 0.000 0.500 0.000
2 Os 0.500 0.000 0.000
3 Os 0.000 0.000 0.500
4 Ta 0.500 0.500 0.500
5 In 0.000 0.000 0.000


It turns out one is the most stable, with the second structure 62.3 kJ/mol of atoms higher.


--- one ---
VASP calculation (GGA-PBE) on a relaxed Ta2InOs2 crystal.

Cell: 4.066 4.066 6.783 Å, 72.56 72.56 90.00°
Fractional positions:
1 In 0.000 0.000 0.000
2 Ta 0.622 0.622 0.755
3 Ta 0.378 0.378 0.245
4 Os 0.750 0.250 0.500
5 Os 0.250 0.750 0.500


--- two ---
VASP calculation (GGA-PBE) on a relaxed Ta2InOs2 crystal.

Cell: 7.837 7.837 2.980 Å, 90.00 90.00 90.00°
Fractional positions:
1 In 0.500 0.500 0.000
2 In 0.000 0.000 0.000
3 Ta 0.854 0.646 0.000
4 Ta 0.354 0.854 0.000
5 Ta 0.146 0.354 0.000
6 Ta 0.646 0.146 0.000
7 Os 0.141 0.641 0.500
8 Os 0.859 0.359 0.500
9 Os 0.359 0.141 0.500
10 Os 0.641 0.859 0.500


It turns out two is the most stable, with the second structure 20.9 kJ/mol of atoms higher.